The following is a DFT calculation (GGA+U) of crystalline KCaCeFeO6 at its relaxed geometry.

Computed properties:
Total moment = 3.2 μB/cell
Electronic total energy = -6.487 eV/atom
Space-group type = F-43m

a = 5.780 Å, b = 5.780 Å, c = 5.780 Å
α = 60.00°, β = 60.00°, γ = 60.00°
Sites, in units of the cell vectors:
O  0.733  0.733  0.267
O  0.267  0.733  0.267
O  0.733  0.267  0.267
O  0.733  0.267  0.733
O  0.267  0.267  0.733
O  0.267  0.733  0.733
Ce  0.000  0.000  0.000
K  0.750  0.750  0.750
Fe  0.500  0.500  0.500
Ca  0.250  0.250  0.250